# 1
VASP calculation (PBE) on an optimized crystal structure of LiMnTlAg.

Results
energy of formation from the pure elements	0.074	eV/atom
space-group type	F-43m

Cell and atoms, written as POSCAR:
```
LiMnTlAg
1.0
0.000 3.287 3.287
3.287 0.000 3.287
3.287 3.287 0.000
Li Mn Tl Ag
1 1 1 1
Direct
0.000 0.000 0.000
0.500 0.500 0.500
0.250 0.250 0.250
0.750 0.750 0.750
```


# 2
VASP calculation (PBE) on an optimized crystal structure of SmYHg.

Results
energy of formation from the pure elements	-0.363	eV/atom
space-group type	Pnma

Cell and atoms, written as POSCAR:
```
SmYHg
1.0
7.063 0.000 0.000
0.000 5.223 0.000
0.000 0.000 9.372
Sm Y Hg
4 4 4
Direct
0.176 0.250 0.077
0.324 0.750 0.577
0.676 0.250 0.423
0.824 0.750 0.923
0.014 0.250 0.697
0.486 0.750 0.197
0.514 0.250 0.803
0.986 0.750 0.303
0.232 0.250 0.402
0.268 0.750 0.902
0.732 0.250 0.098
0.768 0.750 0.598
```


# 3
VASP calculation (PBE) on an optimized crystal structure of SmLuCdRu.

Results
energy of formation from the pure elements	-0.265	eV/atom
space-group type	F-43m

Cell and atoms, written as POSCAR:
```
SmLuCdRu
1.0
0.000 3.561 3.561
3.561 0.000 3.561
3.561 3.561 0.000
Sm Lu Cd Ru
1 1 1 1
Direct
0.000 0.000 0.000
0.500 0.500 0.500
0.750 0.750 0.750
0.250 0.250 0.250
```


# 4
VASP calculation (PBE) on an optimized crystal structure of TbHo2ScIn2.

Results
energy of formation from the pure elements	-0.353	eV/atom
space-group type	Pmc2_1

Cell and atoms, written as POSCAR:
```
TbHo2ScIn2
1.0
5.274 0.000 0.000
0.000 9.174 0.000
0.000 0.000 6.667
Tb Ho Sc In
2 4 2 4
Direct
0.000 0.006 0.000
0.000 0.994 0.500
0.000 0.336 0.262
0.000 0.664 0.762
0.500 0.492 0.003
0.500 0.508 0.503
0.500 0.171 0.742
0.500 0.829 0.242
0.000 0.327 0.755
0.000 0.673 0.255
0.500 0.158 0.249
0.500 0.842 0.749
```


# 5
VASP calculation (PBE) on an optimized crystal structure of CeNiH2.

Results
electronic total energy	-19.7	eV per formula unit
space-group type	R-3m

Cell and atoms, written as POSCAR:
```
CeNiH2
1.0
2.052 1.185 3.544
-2.052 1.185 3.544
0.000 -2.370 3.544
Ce Ni H
1 1 2
Direct
0.000 0.000 0.000
0.500 0.500 0.500
0.352 0.352 0.352
0.648 0.648 0.648
```


# 6
VASP calculation (PBE) on an optimized crystal structure of K2Tl5In2.

Results
energy of formation from the pure elements	-0.058	eV/atom
space-group type	Cmce

Cell and atoms, written as POSCAR:
```
K2Tl5In2
1.0
8.550 -4.321 0.000
8.550 4.321 0.000
0.000 0.000 8.636
K Tl In
4 10 4
Direct
0.224 0.224 0.000
0.276 0.276 0.500
0.724 0.724 0.500
0.776 0.776 0.000
0.000 0.000 0.000
0.068 0.711 0.680
0.211 0.568 0.180
0.289 0.932 0.680
0.432 0.789 0.180
0.500 0.500 0.500
0.568 0.211 0.820
0.711 0.068 0.320
0.789 0.432 0.820
0.932 0.289 0.320
0.124 0.876 0.378
0.376 0.624 0.878
0.624 0.376 0.122
0.876 0.124 0.622
```


# 7
VASP calculation (PBE) on an optimized crystal structure of Ca2Ac3PaN6.

Results
uncorrected formation energy	-1.198	eV/atom
space-group type	C2/m

Cell and atoms, written as POSCAR:
```
Ca2Ac3PaN6
1.0
3.226 -5.578 0.000
3.226 5.578 0.000
-2.094 0.000 6.113
Ca Ac Pa N
2 3 1 6
Direct
0.167 0.833 0.000
0.833 0.167 0.000
0.000 0.000 0.500
0.331 0.669 0.500
0.669 0.331 0.500
0.500 0.500 0.000
0.131 0.425 0.773
0.280 0.280 0.244
0.425 0.131 0.773
0.575 0.869 0.227
0.720 0.720 0.756
0.869 0.575 0.227
```


# 8
VASP calculation (PBE) on an optimized crystal structure of SeI2OF.

Results
uncorrected formation energy	0.049	eV/atom
space-group type	P4/mmm

Cell and atoms, written as POSCAR:
```
SeI2OF
1.0
5.767 0.000 0.000
0.000 5.767 0.000
0.000 0.000 3.701
Se I O F
1 2 1 1
Direct
0.000 0.000 0.000
0.000 0.500 0.000
0.500 0.000 0.000
0.000 0.000 0.500
0.500 0.500 0.500
```


# 9
VASP calculation (PBE) on an optimized crystal structure of YZnGePt3.

Results
energy of formation from the pure elements	-0.638	eV/atom
space-group type	Cmcm

Cell and atoms, written as POSCAR:
```
YZnGePt3
1.0
3.414 -5.937 0.000
3.414 5.937 0.000
0.000 0.000 5.613
Y Zn Ge Pt
2 2 2 6
Direct
0.199 0.801 0.750
0.801 0.199 0.250
0.444 0.556 0.750
0.556 0.444 0.250
0.130 0.870 0.250
0.870 0.130 0.750
0.209 0.209 0.000
0.209 0.209 0.500
0.332 0.668 0.250
0.668 0.332 0.750
0.791 0.791 0.000
0.791 0.791 0.500
```


# 10
VASP calculation (PBE) on an optimized crystal structure of Ce3Sc2Ru4.

Results
energy of formation from the pure elements	-0.391	eV/atom
space-group type	C2/c

Cell and atoms, written as POSCAR:
```
Ce3Sc2Ru4
1.0
5.051 -4.729 0.000
5.051 4.729 0.000
-1.390 0.000 8.068
Ce Sc Ru
6 4 8
Direct
0.038 0.338 0.670
0.169 0.831 0.750
0.338 0.038 0.170
0.662 0.962 0.830
0.831 0.169 0.250
0.962 0.662 0.330
0.294 0.526 0.067
0.474 0.706 0.433
0.526 0.294 0.567
0.706 0.474 0.933
0.012 0.220 0.020
0.207 0.400 0.353
0.220 0.012 0.520
0.400 0.207 0.853
0.600 0.793 0.147
0.780 0.988 0.480
0.793 0.600 0.647
0.988 0.780 0.980
```


# 11
VASP calculation (PBE) on an optimized crystal structure of La6HPd2.

Results
electronic total energy	-47.4	eV per formula unit
space-group type	P2_1/c

Cell and atoms, written as POSCAR:
```
La6HPd2
1.0
6.719 0.000 0.000
0.000 7.348 0.000
-6.615 0.000 10.405
La H Pd
12 2 4
Direct
0.105 0.029 0.254
0.105 0.471 0.754
0.221 0.675 0.060
0.221 0.825 0.560
0.393 0.179 0.061
0.393 0.321 0.561
0.607 0.679 0.439
0.607 0.821 0.939
0.779 0.175 0.440
0.779 0.325 0.940
0.895 0.529 0.246
0.895 0.971 0.746
0.500 0.000 0.500
0.500 0.500 0.000
0.335 0.120 0.754
0.335 0.380 0.254
0.665 0.620 0.746
0.665 0.880 0.246
```


# 12
VASP calculation (PBE) on an optimized crystal structure of Pr6AgRh.

Results
energy of formation from the pure elements	-0.069	eV/atom
space-group type	P-1

Cell and atoms, written as POSCAR:
```
Pr6AgRh
1.0
6.976 0.000 0.000
-3.488 6.049 0.000
-3.482 -2.017 6.719
Pr Ag Rh
6 1 1
Direct
0.023 0.078 0.254
0.309 0.731 0.254
0.324 0.555 0.746
0.676 0.445 0.254
0.691 0.269 0.746
0.977 0.922 0.746
0.500 0.000 0.000
0.500 0.500 0.500
```


# 13
VASP calculation (PBE) on an optimized crystal structure of PuGaFeCo.

Results
energy of formation from the pure elements	-0.139	eV/atom
space-group type	F-43m

Cell and atoms, written as POSCAR:
```
PuGaFeCo
1.0
0.000 3.119 3.119
3.119 0.000 3.119
3.119 3.119 0.000
Pu Ga Fe Co
1 1 1 1
Direct
0.000 0.000 0.000
0.500 0.500 0.500
0.250 0.250 0.250
0.750 0.750 0.750
```


# 14
VASP calculation (PBE) on an optimized crystal structure of BaYRh2.

Results
energy of formation from the pure elements	-0.027	eV/atom
space-group type	I-42d

Cell and atoms, written as POSCAR:
```
BaYRh2
1.0
-3.872 3.872 3.334
3.872 -3.872 3.334
3.872 3.872 -3.334
Ba Y Rh
2 2 4
Direct
0.000 0.000 0.000
0.750 0.250 0.500
0.250 0.750 0.500
0.500 0.500 0.000
0.149 0.625 0.024
0.375 0.399 0.524
0.601 0.125 0.976
0.875 0.851 0.476
```


# 15
VASP calculation (PBE) on an optimized crystal structure of Pm2Ga4Rh5.

Results
energy of formation from the pure elements	-0.757	eV/atom
space-group type	Fmmm

Cell and atoms, written as POSCAR:
```
Pm2Ga4Rh5
1.0
0.000 4.785 7.416
2.877 0.000 7.416
2.877 4.785 0.000
Pm Ga Rh
2 4 5
Direct
0.124 0.124 0.876
0.876 0.876 0.124
0.212 0.528 0.472
0.472 0.788 0.212
0.528 0.212 0.788
0.788 0.472 0.528
0.000 0.000 0.500
0.250 0.250 0.250
0.500 0.500 0.000
0.500 0.500 0.500
0.750 0.750 0.750
```


# 16
VASP calculation (PBE) on an optimized crystal structure of KRbNaRu2.

Results
energy of formation from the pure elements	1.976	eV/atom
space-group type	P4/mmm

Cell and atoms, written as POSCAR:
```
KRbNaRu2
1.0
5.200 0.000 0.000
0.000 5.200 0.000
0.000 0.000 5.771
K Rb Na Ru
1 1 1 2
Direct
0.000 0.000 0.000
0.500 0.500 0.500
0.500 0.500 0.000
0.000 0.500 0.500
0.500 0.000 0.500
```